Compound: Ac2AuSe
Source: Alexandria
Functional: PBE
Structure: relaxed

Cell: 7.836 7.836 7.836 Å, 131.34 131.34 71.27°
Atoms (fractional coordinates):
Ac  0.123  0.373  0.750
Ac  0.373  0.123  0.250
Ac  0.627  0.877  0.750
Ac  0.877  0.627  0.250
Au  0.125  0.875  0.250
Au  0.875  0.125  0.750
Se  0.375  0.625  0.750
Se  0.625  0.375  0.250

Results
polymorph energy (0 for the lowest one)	0	meV/atom
space group	I4_1/amd
raw formation energy	-1.290	eV/atom

***

Compound: IrWBr2
Source: Alexandria
Functional: PBE
Structure: relaxed

Cell: 3.070 4.503 5.300 Å, 90.00 94.33 90.00°
Atoms (fractional coordinates):
Ir  0.000  0.000  0.000
W  0.500  0.000  0.500
Br  0.277  0.500  0.253
Br  0.723  0.500  0.747

Results
polymorph energy (0 for the lowest one)	1102	meV/atom
space group	P2/m
raw formation energy	1.173	eV/atom